Record 1
Computed, not measured: a geometry-optimized PmCo2AsN structure at the PBE level of DFT.

Summary:
Total moment: 2.65 μB/cell
Energy: -7.129 eV per atom
Crystal system: orthorhombic
Energy relative to the elements, uncorrected: -3.705 eV/f.u.

POSCAR file:
```
PmCo2AsN
1.0
3.670 0.000 0.000
-1.835 5.520 0.000
0.000 0.000 6.902
N As Co Pm
2 2 4 2
Direct
0.000 0.000 0.000 N
0.000 0.000 0.500 N
0.732 0.464 0.750 As
0.268 0.536 0.250 As
0.163 0.327 0.948 Co
0.837 0.673 0.052 Co
0.837 0.673 0.448 Co
0.163 0.327 0.552 Co
0.461 0.922 0.750 Pm
0.539 0.078 0.250 Pm
```

Record 2
Computed, not measured: a geometry-optimized Tl5S6 structure at the PBE level of DFT.

Summary:
Total moment: 0.00 μB/cell
Energy: -3.446 eV per atom
Energy above the most stable polymorph in this dataset: 0.090 eV per formula unit
Crystal system: monoclinic
Energy relative to the elements, uncorrected: -1.306 eV/f.u.

POSCAR file:
```
Tl5S6
1.0
6.937 0.000 0.009
3.468 5.982 0.005
2.388 0.000 6.809
Tl S
5 6
Direct
0.667 0.667 0.000 Tl
0.500 0.000 0.500 Tl
0.830 0.339 0.500 Tl
0.333 0.333 0.000 Tl
0.170 0.661 0.500 Tl
0.575 0.335 0.272 S
0.244 0.000 0.278 S
0.090 0.335 0.728 S
0.910 0.665 0.272 S
0.756 0.000 0.722 S
0.425 0.665 0.728 S
```

Record 3
Computed, not measured: a geometry-optimized Be3ReB12 structure at the PBE level of DFT.

Summary:
Total moment: 0.00 μB/cell
Energy: -6.171 eV per atom
Crystal system: trigonal
ΔE_f: 0.314 eV per atom

POSCAR file:
```
Be3ReB12
1.0
9.474 0.000 4.575
3.633 8.750 4.575
3.164 2.112 5.545
B Be Re
24 6 2
Direct
0.105 0.418 0.078 B
0.311 0.138 0.591 B
0.644 0.490 0.049 B
0.138 0.960 0.591 B
0.753 0.092 0.023 B
0.592 0.253 0.523 B
0.960 0.311 0.591 B
0.131 0.753 0.023 B
0.144 0.317 0.550 B
0.399 0.105 0.078 B
0.605 0.899 0.578 B
0.899 0.918 0.578 B
0.092 0.131 0.023 B
0.490 0.817 0.050 B
0.631 0.592 0.523 B
0.811 0.460 0.091 B
0.418 0.399 0.078 B
0.317 0.990 0.549 B
0.817 0.644 0.049 B
0.638 0.811 0.091 B
0.990 0.144 0.549 B
0.460 0.638 0.091 B
0.253 0.631 0.523 B
0.918 0.605 0.578 B
0.114 0.457 0.676 Be
0.457 0.753 0.676 Be
0.957 0.614 0.176 Be
0.614 0.253 0.176 Be
0.753 0.114 0.676 Be
0.253 0.957 0.176 Be
0.480 0.480 0.559 Re
0.980 0.980 0.059 Re
```

Record 4
Computed, not measured: a geometry-optimized TbHoPdPb structure at the PBE level of DFT.

Summary:
Total moment: 0.00 μB/cell
Energy: -5.144 eV per atom
Crystal system: cubic
ΔE_f: -0.616 eV per atom

POSCAR file:
```
TbHoPdPb
1.0
5.210 0.000 0.000
2.605 4.512 0.000
2.605 1.504 4.254
Ho Tb Pd Pb
1 1 1 1
Direct
0.750 0.750 0.750 Ho
0.250 0.250 0.250 Tb
0.000 0.000 0.000 Pd
0.500 0.500 0.500 Pb
```

Record 5
Computed, not measured: a geometry-optimized CuPbCl2 structure at the PBE level of DFT.

Summary:
Total moment: 0.00 μB/cell
Energy: -3.262 eV per atom
Energy above the most stable polymorph in this dataset: 0.457 eV per formula unit
Crystal system: orthorhombic
Energy relative to the elements, uncorrected: -1.552 eV/f.u.

POSCAR file:
```
CuPbCl2
1.0
3.689 -0.058 0.000
-1.503 3.370 0.000
0.000 0.000 8.618
Pb Cl Cu
1 2 1
Direct
0.500 0.500 0.730 Pb
0.500 0.500 0.351 Cl
0.000 0.000 0.961 Cl
0.000 0.000 0.458 Cu
```